Record 1
Here is crystalline Ir2RuRh at its relaxed geometry from Alexandria via LeMat-Bulk. Energies are from GGA-PBEsol.

The structure belongs to space group Cmmm (No. 65); the cell edges are 5.3725, 7.5888 and 2.6879 Å and the angles 90.00°, 90.00° and 90.00°. Symmetry generates all atoms from Ir at (0.2500, 0.2500, 0.0000), Ru at (0.0000, 0.0000, 0.5000) and Rh at (0.0000, 0.5000, 0.5000).

Its uncorrected energy is -9.509 eV per atom. The offset from the most stable computed form comes out at 1.5 kJ/mol of atoms.



Record 2
Here is crystalline IrRuRh3 at its relaxed geometry from Alexandria via LeMat-Bulk. Energies are from GGA-PBEsol.

The structure belongs to space group Pm-3m (No. 221); the cell edges are 4.5941, 4.5941 and 4.5941 Å and the angles 90.00°, 90.00° and 90.00°. Symmetry generates all atoms from Ir at (0.0000, 0.0000, 0.0000), Ru at (0.5000, 0.5000, 0.5000) and Rh at (0.0000, 0.0000, 0.5000).

Its uncorrected energy is -6.852 eV per atom.



Record 3
Here is crystalline Ir2RuRh at its relaxed geometry from Alexandria via LeMat-Bulk. Energies are from GGA-PBEsol.

The structure belongs to space group P4/mmm (No. 123); the cell edges are 3.8003, 3.8003 and 3.7930 Å and the angles 90.00°, 90.00° and 90.00°. Symmetry generates all atoms from Ir at (0.0000, 0.5000, 0.0000), Ru at (0.0000, 0.0000, 0.5000) and Rh at (0.5000, 0.5000, 0.5000).

Its uncorrected energy is -9.505 eV per atom. The offset from the most stable computed form comes out at 1.9 kJ/mol of atoms.